#A
Computed, not measured: crystalline AgC2N2 at its relaxed geometry at the GGA-PBE level of DFT.

abc: 8.9572 8.9572 2.4354
angles: 90.00 90.00 90.00
Element x y z (fractional)
C 0.1467 0.6467 0.5000
C 0.6467 0.8533 0.5000
C 0.8533 0.3533 0.5000
C 0.3533 0.1467 0.5000
Ag 0.0000 0.0000 0.0000
Ag 0.5000 0.5000 0.0000
N 0.1201 0.6201 0.0000
N 0.6201 0.8799 0.0000
N 0.8799 0.3799 0.0000
N 0.3799 0.1201 0.0000

Output
Total magnetic moment in μB/cell: 0.0
ρ in g/cm³: 2.718

---

#B
Computed, not measured: crystalline AgC2N2 at its relaxed geometry at the GGA-PBE level of DFT.

abc: 3.0128 3.0128 7.2702
angles: 78.04 78.04 90.00
Element x y z (fractional)
C 0.7500 0.2500 0.5000
C 0.2500 0.7500 0.5000
Ag 0.0000 0.0000 0.0000
N 0.2091 0.2091 0.5818
N 0.7909 0.7909 0.4182

Output
Total magnetic moment in μB/cell: 0.0
ρ in g/cm³: 4.208

---

Calculated relative energies: #A 0.0; #B 100.2, given in kJ/mol of atoms

---

#A
Computed, not measured: crystalline AgCSeN2 at its relaxed geometry at the GGA-PBE level of DFT.

abc: 3.3643 3.3643 7.8432
angles: 90.00 90.00 90.00
Element x y z (fractional)
C 0.0000 0.0000 0.0000
Se 0.0000 0.0000 0.5000
Ag 0.5000 0.5000 0.5000
N 0.0000 0.5000 0.0000
N 0.5000 0.0000 0.0000

Output
Total magnetic moment in μB/cell: 0.0
ρ in g/cm³: 4.243

---

#B
Computed, not measured: crystalline AgCSeN2 at its relaxed geometry at the GGA-PBE level of DFT.

abc: 3.9719 3.9719 5.7312
angles: 90.00 90.00 90.00
Each line ends with the local moment (μB).
Element x y z (fractional)
C 0.5000 0.5000 0.5000  -0.45
Se 0.0000 0.0000 0.5000  0.33
Ag 0.0000 0.0000 0.0000  0.24
N 0.0000 0.5000 0.0000  1.17
N 0.5000 0.0000 0.0000  1.17

Output
Total magnetic moment in μB/cell: 3.2
ρ in g/cm³: 4.166

---

Calculated relative energies: #A 0.0; #B 72.2, given in kJ/mol of atoms

---

#A
Computed, not measured: crystalline AgCSe2N at its relaxed geometry at the GGA-PBE level of DFT.

abc: 5.1755 5.1755 3.9673
angles: 90.00 90.00 90.00
Each line ends with the local moment (μB).
Element x y z (fractional)
C 0.5000 0.5000 0.5000  0.61
Se 0.0000 0.5000 0.0000  -0.38
Se 0.5000 0.0000 0.0000  -0.38
Ag 0.0000 0.0000 0.0000  0.08
N 0.0000 0.0000 0.5000  1.09

Output
Total magnetic moment in μB/cell: 1.7
ρ in g/cm³: 4.560

---

#B
Computed, not measured: crystalline AgCSe2N at its relaxed geometry at the GGA-PBE level of DFT.

abc: 6.0217 6.0217 2.5022
angles: 90.00 90.00 90.00
Element x y z (fractional)
C 0.0000 0.0000 0.0000
Se 0.0000 0.5000 0.0000
Se 0.5000 0.0000 0.0000
Ag 0.5000 0.5000 0.5000
N 0.0000 0.0000 0.5000

Output
Total magnetic moment in μB/cell: 0.0
ρ in g/cm³: 5.340

---

Calculated relative energies: #A 175.0; #B 0.0, given in kJ/mol of atoms

---

#A
Computed, not measured: crystalline AgTe2CN at its relaxed geometry at the GGA-PBE level of DFT.

abc: 5.5024 5.5024 3.9115
angles: 90.00 90.00 90.00
Each line ends with the local moment (μB).
Element x y z (fractional)
C 0.5000 0.5000 0.5000  0.56
Te 0.0000 0.5000 0.0000  -0.16
Te 0.5000 0.0000 0.0000  -0.16
Ag 0.0000 0.0000 0.0000  0.09
N 0.0000 0.0000 0.5000  0.91

Output
Total magnetic moment in μB/cell: 1.9
ρ in g/cm³: 5.456

---

#B
Computed, not measured: crystalline AgTe2CN at its relaxed geometry at the GGA-PBE level of DFT.

abc: 6.2924 6.2924 2.6463
angles: 90.00 90.00 90.00
Element x y z (fractional)
C 0.0000 0.0000 0.0000
Te 0.0000 0.5000 0.0000
Te 0.5000 0.0000 0.0000
Ag 0.5000 0.5000 0.5000
N 0.0000 0.0000 0.5000

Output
Total magnetic moment in μB/cell: 0.0
ρ in g/cm³: 6.166

---

Calculated relative energies: #A 140.8; #B 0.0, given in kJ/mol of atoms

---

#A
Computed, not measured: crystalline Nb3AgC at its relaxed geometry at the GGA-PBE level of DFT.

abc: 4.8918 4.8918 4.8918
angles: 90.00 90.00 90.00
Element x y z (fractional)
Nb 0.0000 0.5000 0.0000
Nb 0.0000 0.0000 0.5000
Nb 0.5000 0.0000 0.0000
C 0.5000 0.5000 0.5000
Ag 0.0000 0.0000 0.0000

Output
Total magnetic moment in μB/cell: 0.0
ρ in g/cm³: 5.654

---

#B
Computed, not measured: crystalline Nb3AgC at its relaxed geometry at the GGA-PBE level of DFT.

abc: 4.3236 4.3236 4.3236
angles: 90.00 90.00 90.00
Element x y z (fractional)
Nb 0.0000 0.5000 0.0000
Nb 0.0000 0.0000 0.5000
Nb 0.5000 0.0000 0.0000
C 0.0000 0.0000 0.0000
Ag 0.5000 0.5000 0.5000

Output
Total magnetic moment in μB/cell: 0.0
ρ in g/cm³: 8.189

---

Calculated relative energies: #A 298.1; #B 0.0, given in kJ/mol of atoms

---

#A
Computed, not measured: crystalline NbAgC2 at its relaxed geometry at the GGA-PBE level of DFT.

abc: 4.0080 4.0080 4.0080
angles: 60.00 60.00 60.00
Element x y z (fractional)
Nb 0.0000 0.0000 0.0000
C 0.2500 0.2500 0.2500
C 0.7500 0.7500 0.7500
Ag 0.5000 0.5000 0.5000

Output
Total magnetic moment in μB/cell: 0.0
ρ in g/cm³: 8.199

---

#B
Computed, not measured: crystalline NbAgC2 at its relaxed geometry at the GGA-PBE level of DFT.

abc: 4.9759 4.9759 5.9842
angles: 65.43 65.43 90.00
Element x y z (fractional)
Nb 0.5000 0.5000 0.0000
Nb 0.2500 0.7500 0.5000
C 0.5974 0.1250 0.2500
C 0.1526 0.6250 0.2500
C 0.3750 0.4026 0.7500
C 0.8750 0.8474 0.7500
Ag 0.0000 0.0000 0.0000
Ag 0.7500 0.2500 0.5000

Output
Total magnetic moment in μB/cell: 0.0
ρ in g/cm³: 6.229

---

Calculated relative energies: #A 40.4; #B 0.0, given in kJ/mol of atoms